(1)
The following is a GGA-PBE calculation of a relaxed Ga2Cu2Ru crystal, from Alexandria.

Distance to the lowest polymorph of the same formula   0.000 eV/atom
Final energy   -4.6966 eV/atom
Volume   143.3 Å³/cell
D(E_F)   0.246 states/eV per atom
Crystal system   tetragonal
DFT formation energy   0.008 eV/atom

```
data_Ga2Cu2Ru
_chemical_formula_sum 'Ga4 Cu4 Ru2'
_cell_length_a 3.2812
_cell_length_b 3.2812
_cell_length_c 13.3060
_cell_angle_alpha 90.00
_cell_angle_beta 90.00
_cell_angle_gamma 90.00
_symmetry_space_group_name_H-M 'P 1'
_symmetry_Int_Tables_number 1
loop_
_symmetry_equiv_pos_as_xyz
'x,y,z'
loop_
_atom_site_label
_atom_site_type_symbol
_atom_site_fract_x
_atom_site_fract_y
_atom_site_fract_z
Ga1 Ga 0.0000 0.0000 0.1002
Ga2 Ga 0.0000 0.0000 0.8998
Ga3 Ga 0.5000 0.5000 0.3998
Ga4 Ga 0.5000 0.5000 0.6002
Cu1 Cu 0.0000 0.5000 0.2500
Cu2 Cu 0.0000 0.5000 0.7500
Cu3 Cu 0.5000 0.0000 0.2500
Cu4 Cu 0.5000 0.0000 0.7500
Ru1 Ru 0.0000 0.0000 0.5000
Ru2 Ru 0.5000 0.5000 0.0000
```

---

(2)
The following is a GGA-PBE calculation of a relaxed Ga4CuRu3 crystal, from Alexandria.

Final energy   -5.8066 eV/atom
Volume   111.8 Å³/cell
D(E_F)   0.288 states/eV per atom
Crystal system   orthorhombic
DFT formation energy   -0.303 eV/atom

```
data_Ga4CuRu3
_chemical_formula_sum 'Ga4 Cu1 Ru3'
_cell_length_a 3.1341
_cell_length_b 4.1406
_cell_length_c 8.6169
_cell_angle_alpha 90.00
_cell_angle_beta 90.00
_cell_angle_gamma 90.00
_symmetry_space_group_name_H-M 'P 1'
_symmetry_Int_Tables_number 1
loop_
_symmetry_equiv_pos_as_xyz
'x,y,z'
loop_
_atom_site_label
_atom_site_type_symbol
_atom_site_fract_x
_atom_site_fract_y
_atom_site_fract_z
Ga1 Ga 0.0000 0.0000 0.0000
Ga2 Ga 0.0000 0.0000 0.5000
Ga3 Ga 0.0000 0.5000 0.2396
Ga4 Ga 0.0000 0.5000 0.7604
Cu1 Cu 0.5000 0.5000 0.5000
Ru1 Ru 0.5000 0.0000 0.2719
Ru2 Ru 0.5000 0.0000 0.7281
Ru3 Ru 0.5000 0.5000 0.0000
```

---

(3)
The following is a GGA-PBE calculation of a relaxed GaCu2Ru crystal, from Alexandria.

Final energy   -4.8951 eV/atom
Volume   228.0 Å³/cell
D(E_F)   0.602 states/eV per atom
Crystal system   tetragonal
DFT formation energy   0.229 eV/atom

```
data_GaCu2Ru
_chemical_formula_sum 'Ga4 Cu8 Ru4'
_cell_length_a 3.5229
_cell_length_b 3.5229
_cell_length_c 18.3681
_cell_angle_alpha 90.00
_cell_angle_beta 90.00
_cell_angle_gamma 90.00
_symmetry_space_group_name_H-M 'P 1'
_symmetry_Int_Tables_number 1
loop_
_symmetry_equiv_pos_as_xyz
'x,y,z'
loop_
_atom_site_label
_atom_site_type_symbol
_atom_site_fract_x
_atom_site_fract_y
_atom_site_fract_z
Ga1 Ga 0.0000 0.0000 0.0000
Ga2 Ga 0.0000 0.5000 0.2500
Ga3 Ga 0.5000 0.0000 0.7500
Ga4 Ga 0.5000 0.5000 0.5000
Cu1 Cu 0.2493 0.2500 0.1250
Cu2 Cu 0.2500 0.7493 0.3750
Cu3 Cu 0.2500 0.7507 0.8750
Cu4 Cu 0.2507 0.2500 0.6250
Cu5 Cu 0.7493 0.7500 0.6250
Cu6 Cu 0.7500 0.2493 0.8750
Cu7 Cu 0.7500 0.2507 0.3750
Cu8 Cu 0.7507 0.7500 0.1250
Ru1 Ru 0.0000 0.0000 0.5000
Ru2 Ru 0.0000 0.5000 0.7500
Ru3 Ru 0.5000 0.0000 0.2500
Ru4 Ru 0.5000 0.5000 0.0000
```

---

(4)
The following is a GGA-PBE calculation of a relaxed GaCu2Ru crystal, from Alexandria.

Final energy   -5.2242 eV/atom
Volume   52.5 Å³/cell
D(E_F)   0.759 states/eV per atom
Crystal system   tetragonal
DFT formation energy   -0.100 eV/atom

```
data_GaCu2Ru
_chemical_formula_sum 'Ga1 Cu2 Ru1'
_cell_length_a 3.6359
_cell_length_b 3.6359
_cell_length_c 3.9678
_cell_angle_alpha 90.00
_cell_angle_beta 90.00
_cell_angle_gamma 90.00
_symmetry_space_group_name_H-M 'P 1'
_symmetry_Int_Tables_number 1
loop_
_symmetry_equiv_pos_as_xyz
'x,y,z'
loop_
_atom_site_label
_atom_site_type_symbol
_atom_site_fract_x
_atom_site_fract_y
_atom_site_fract_z
Ga1 Ga 0.0000 0.0000 0.0000
Cu1 Cu 0.0000 0.5000 0.5000
Cu2 Cu 0.5000 0.0000 0.5000
Ru1 Ru 0.5000 0.5000 0.0000
```

---

(5)
The following is a GGA-PBE calculation of a relaxed Ga2CuRu2 crystal, from Alexandria.

Distance to the lowest polymorph of the same formula   0.003 eV/atom
Final energy   -5.7956 eV/atom
Volume   148.0 Å³/cell
D(E_F)   1.018 states/eV per atom
Crystal system   tetragonal
DFT formation energy   -0.055 eV/atom

```
data_Ga2CuRu2
_chemical_formula_sum 'Ga4 Cu2 Ru4'
_cell_length_a 6.6672
_cell_length_b 6.6672
_cell_length_c 3.3304
_cell_angle_alpha 90.00
_cell_angle_beta 90.00
_cell_angle_gamma 90.00
_symmetry_space_group_name_H-M 'P 1'
_symmetry_Int_Tables_number 1
loop_
_symmetry_equiv_pos_as_xyz
'x,y,z'
loop_
_atom_site_label
_atom_site_type_symbol
_atom_site_fract_x
_atom_site_fract_y
_atom_site_fract_z
Ga1 Ga 0.1573 0.3427 0.0000
Ga2 Ga 0.3427 0.8427 0.0000
Ga3 Ga 0.6573 0.1573 0.0000
Ga4 Ga 0.8427 0.6573 0.0000
Cu1 Cu 0.0000 0.0000 0.5000
Cu2 Cu 0.5000 0.5000 0.5000
Ru1 Ru 0.1437 0.6437 0.5000
Ru2 Ru 0.3563 0.1437 0.5000
Ru3 Ru 0.6437 0.8563 0.5000
Ru4 Ru 0.8563 0.3563 0.5000
```

---

(6)
The following is a GGA-PBE calculation of a relaxed Ga2Cu2Ru crystal, from Alexandria.

Distance to the lowest polymorph of the same formula   0.050 eV/atom
Final energy   -4.6463 eV/atom
Volume   138.9 Å³/cell
D(E_F)   0.471 states/eV per atom
Crystal system   tetragonal
DFT formation energy   0.058 eV/atom

```
data_Ga2Cu2Ru
_chemical_formula_sum 'Ga4 Cu4 Ru2'
_cell_length_a 7.0459
_cell_length_b 7.0459
_cell_length_c 2.7974
_cell_angle_alpha 90.00
_cell_angle_beta 90.00
_cell_angle_gamma 90.00
_symmetry_space_group_name_H-M 'P 1'
_symmetry_Int_Tables_number 1
loop_
_symmetry_equiv_pos_as_xyz
'x,y,z'
loop_
_atom_site_label
_atom_site_type_symbol
_atom_site_fract_x
_atom_site_fract_y
_atom_site_fract_z
Ga1 Ga 0.1778 0.3222 0.0000
Ga2 Ga 0.3222 0.8222 0.0000
Ga3 Ga 0.6778 0.1778 0.0000
Ga4 Ga 0.8222 0.6778 0.0000
Cu1 Cu 0.1227 0.6227 0.5000
Cu2 Cu 0.3773 0.1227 0.5000
Cu3 Cu 0.6227 0.8773 0.5000
Cu4 Cu 0.8773 0.3773 0.5000
Ru1 Ru 0.0000 0.0000 0.5000
Ru2 Ru 0.5000 0.5000 0.5000
```